Crystalline CaMo2W at its relaxed geometry, computed with PBE.

Values from the calculation:
Space group: P4/mmm, No. 123
Formation energy (meV per atom): 817
Energy relative to the lowest polymorph listed for this composition (meV/atom): 330
Size of the total moment (Bohr magnetons per cell): 0.00

extended XYZ file:
```
4
Lattice="-0.6267 2.9830 0.3079 -0.5275 -0.5993 4.7331 4.6687 0.9152 0.6362" Properties=species:S:1:pos:R:3 pbc="T T T"
Mo 0.0000 0.0000 0.0000
Mo 2.0706 0.1579 2.6846
Ca 2.0210 1.9491 0.4720
W -0.5771 1.1918 2.5205
```